[1]
PBE TlNi2Rh2, relaxed; energy of formation from the pure elements = 35.6 kJ/mol of atoms; crystal system = tetragonal; raw total energy = -26.8 eV/f.u.; DOS(E_F) = 6.845 states/eV/cell; offset from the most stable computed form = 11.4 kJ/mol of atoms
1.0
-1.852 1.852 5.810
1.852 -1.852 5.810
1.852 1.852 -5.810
Tl Ni Rh
1 2 2
direct
0.000 0.000 0.000
0.399 0.399 0.000
0.601 0.601 0.000
0.250 0.750 0.500
0.750 0.250 0.500

---

[2]
PBE Na2In3Bi4, relaxed; energy of formation from the pure elements = -9.9 kJ/mol of atoms; crystal system = monoclinic; raw total energy = -27.3 eV/f.u.; DOS(E_F) = 3.529 states/eV/cell
1.0
5.901 -2.556 0.000
5.901 2.556 0.000
-4.423 0.000 8.974
Na In Bi
2 3 4
direct
0.171 0.171 0.223
0.829 0.829 0.777
0.164 0.164 0.559
0.500 0.500 0.000
0.836 0.836 0.441
0.172 0.172 0.891
0.466 0.466 0.647
0.534 0.534 0.353
0.828 0.828 0.109

---

[3]
PBE Hf3ZrTe, relaxed; crystal system = cubic; raw total energy = -37.9 eV/f.u.; formation energy without anion corrections = 3.7 eV per formula unit; DOS(E_F) = 4.491 states/eV/cell; offset from the most stable computed form = 78.3 kJ/mol of atoms
1.0
5.177 0.000 0.000
0.000 5.177 0.000
0.000 0.000 5.177
Hf Zr Te
3 1 1
direct
0.000 0.000 0.500
0.000 0.500 0.000
0.500 0.000 0.000
0.500 0.500 0.500
0.000 0.000 0.000

---

[4]
PBE La3Cd7Pd4, relaxed; energy of formation from the pure elements = -51.2 kJ/mol of atoms; crystal system = monoclinic; raw total energy = -49.4 eV/f.u.; DOS(E_F) = 8.159 states/eV/cell
1.0
8.227 -2.239 0.000
8.227 2.239 0.000
-5.770 0.000 8.804
La Cd Pd
3 7 4
direct
0.000 0.000 0.000
0.301 0.301 0.288
0.699 0.699 0.712
0.000 0.000 0.500
0.162 0.162 0.432
0.324 0.324 0.989
0.487 0.487 0.693
0.513 0.513 0.307
0.676 0.676 0.011
0.838 0.838 0.568
0.113 0.113 0.821
0.339 0.339 0.742
0.661 0.661 0.258
0.887 0.887 0.179

---

[5]
PBE AlSi2Ru, relaxed; crystal system = tetragonal; raw total energy = -24.5 eV/f.u.; formation energy without anion corrections = -0.6 eV per formula unit; DOS(E_F) = 1.484 states/eV/cell
1.0
2.867 0.000 0.000
0.000 2.867 0.000
0.000 0.000 7.051
Al Si Ru
1 2 1
direct
0.000 0.000 0.000
0.500 0.500 0.285
0.500 0.500 0.715
0.000 0.000 0.500

---

[6]
PBE LiTiV2Se, relaxed; crystal system = tetragonal; raw total energy = -26.2 eV/f.u.; formation energy without anion corrections = 5.3 eV per formula unit; DOS(E_F) = 6.962 states/eV/cell
1.0
4.328 0.000 0.000
0.000 4.328 0.000
0.000 0.000 4.960
Li Ti V Se
1 1 2 1
direct
0.000 0.000 0.000
0.000 0.000 0.500
0.000 0.500 0.500
0.500 0.000 0.500
0.500 0.500 0.000

---

[7]
PBE As3H5Rh12, relaxed; crystal system = cubic; raw total energy = -121.0 eV/f.u.; DOS(E_F) = 78.814 states/eV/cell
1.0
-6.220 6.220 6.220
6.220 -6.220 6.220
6.220 6.220 -6.220
As H Rh
12 20 48
direct
0.125 0.250 0.375
0.125 0.375 0.750
0.250 0.375 0.125
0.250 0.875 0.625
0.375 0.125 0.250
0.375 0.750 0.125
0.625 0.250 0.875
0.625 0.875 0.750
0.750 0.125 0.375
0.750 0.625 0.875
0.875 0.625 0.250
0.875 0.750 0.625
0.000 0.000 0.000
0.000 0.000 0.500
0.000 0.500 0.000
0.000 0.500 0.500
0.125 0.750 0.875
0.125 0.875 0.250
0.250 0.125 0.875
0.250 0.625 0.375
0.375 0.250 0.625
0.375 0.625 0.750
0.500 0.000 0.000
0.500 0.000 0.500
0.500 0.500 0.000
0.500 0.500 0.500
0.625 0.375 0.250
0.625 0.750 0.375
0.750 0.375 0.625
0.750 0.875 0.125
0.875 0.125 0.750
0.875 0.250 0.125
0.018 0.202 0.113
0.018 0.316 0.905
0.089 0.702 0.684
0.089 0.887 0.405
0.095 0.613 0.411
0.095 0.982 0.684
0.113 0.018 0.202
0.113 0.595 0.911
0.184 0.202 0.589
0.184 0.482 0.595
0.202 0.113 0.018
0.202 0.589 0.184
0.298 0.316 0.911
0.298 0.482 0.387
0.316 0.905 0.018
0.316 0.911 0.298
0.387 0.298 0.482
0.387 0.589 0.905
0.405 0.089 0.887
0.405 0.816 0.518
0.411 0.095 0.613
0.411 0.816 0.798
0.482 0.387 0.298
0.482 0.595 0.184
0.518 0.405 0.816
0.518 0.613 0.702
0.589 0.184 0.202
0.589 0.905 0.387
0.595 0.184 0.482
0.595 0.911 0.113
0.613 0.411 0.095
0.613 0.702 0.518
0.684 0.089 0.702
0.684 0.095 0.982
0.702 0.518 0.613
0.702 0.684 0.089
0.798 0.411 0.816
0.798 0.887 0.982
0.816 0.518 0.405
0.816 0.798 0.411
0.887 0.405 0.089
0.887 0.982 0.798
0.905 0.018 0.316
0.905 0.387 0.589
0.911 0.113 0.595
0.911 0.298 0.316
0.982 0.684 0.095
0.982 0.798 0.887

---

[8]
PBE PmSm2Fe9, relaxed; energy of formation from the pure elements = 1.0 kJ/mol of atoms; crystal system = trigonal; raw total energy = -90.2 eV/f.u.; DOS(E_F) = 14.174 states/eV/cell
1.0
2.583 1.492 8.210
-2.583 1.492 8.210
0.000 -2.983 8.210
Pm Sm Fe
1 2 9
direct
0.000 0.000 0.000
0.142 0.142 0.142
0.858 0.858 0.858
0.084 0.579 0.579
0.333 0.333 0.333
0.421 0.421 0.916
0.421 0.916 0.421
0.500 0.500 0.500
0.579 0.084 0.579
0.579 0.579 0.084
0.667 0.667 0.667
0.916 0.421 0.421